# TaMn2Ir

A relaxed structure of TaMn2Ir (GGA-PBE, Alexandria via LeMat-Bulk).

a = 3.818 Å, b = 3.818 Å, c = 3.855 Å
α = 90.00°, β = 90.00°, γ = 90.00°
Element x y z (fractional)
Ta 0.000 0.000 0.000
Mn 0.000 0.500 0.500
Mn 0.500 0.000 0.500
Ir 0.500 0.500 0.000

Summary:
For the total magnetization, the calculation gives 3.8 μB/f.u. The calculation puts the formation energy at -0.219 eV per atom. As for the crystal system: tetragonal. The total energy comes out at -9.98 eV per atom. The energy above the lowest structure with this stoichiometry is 0.000 eV/atom.

---

# TaMn2Ir

A relaxed structure of TaMn2Ir (GGA-PBE, Alexandria via LeMat-Bulk).

a = 4.686 Å, b = 4.686 Å, c = 4.651 Å
α = 101.64°, β = 101.64°, γ = 34.33°
Element x y z (fractional)
Ta 0.000 0.000 0.000
Mn 0.245 0.245 0.723
Mn 0.755 0.755 0.277
Ir 0.500 0.500 0.500

Summary:
For the total magnetization, the calculation gives 2.3 μB/f.u. The calculation puts the formation energy at -0.035 eV per atom. As for the crystal system: monoclinic. The total energy comes out at -9.80 eV per atom. The energy above the lowest structure with this stoichiometry is 0.185 eV/atom.

---

# TaMn2Ir

A relaxed structure of TaMn2Ir (GGA-PBE, Alexandria via LeMat-Bulk).

a = 2.746 Å, b = 4.170 Å, c = 5.173 Å
α = 90.00°, β = 102.71°, γ = 90.00°
Element x y z (fractional)
Ta 0.000 0.000 0.000
Mn 0.240 0.500 0.744
Mn 0.760 0.500 0.256
Ir 0.500 0.000 0.500

Summary:
For the total magnetization, the calculation gives 4.9 μB/f.u. The calculation puts the formation energy at -0.028 eV per atom. As for the crystal system: monoclinic. The total energy comes out at -9.79 eV per atom. The energy above the lowest structure with this stoichiometry is 0.191 eV/atom.

---

# TaMn2Ir

A relaxed structure of TaMn2Ir (GGA-PBE, Alexandria via LeMat-Bulk).

a = 4.329 Å, b = 4.329 Å, c = 4.329 Å
α = 60.00°, β = 60.00°, γ = 60.00°
Element x y z (fractional)
Ta 0.000 0.000 0.000
Mn 0.250 0.250 0.250
Mn 0.500 0.500 0.500
Ir 0.750 0.750 0.750

Summary:
For the total magnetization, the calculation gives 3.9 μB/f.u. The calculation puts the formation energy at -0.205 eV per atom. As for the crystal system: cubic. The total energy comes out at -9.97 eV per atom. The energy above the lowest structure with this stoichiometry is 0.014 eV/atom.

---

# TaMnIr

A relaxed structure of TaMnIr (GGA-PBE, Alexandria via LeMat-Bulk).

a = 4.288 Å, b = 4.288 Å, c = 4.288 Å
α = 60.00°, β = 60.00°, γ = 60.00°
Element x y z (fractional)
Ta 0.000 0.000 0.000
Mn 0.500 0.500 0.500
Ir 0.250 0.250 0.250

Summary:
For the total magnetization, the calculation gives 3.4 μB/f.u. The calculation puts the formation energy at 0.051 eV per atom. As for the crystal system: cubic. The total energy comes out at -9.91 eV per atom. The energy above the lowest structure with this stoichiometry is 0.326 eV/atom.

---

# Ta2MnIr

A relaxed structure of Ta2MnIr (GGA-PBE, Alexandria via LeMat-Bulk).

a = 4.563 Å, b = 4.563 Å, c = 3.009 Å
α = 90.00°, β = 90.00°, γ = 96.85°
Element x y z (fractional)
Ta 0.000 0.500 0.000
Ta 0.500 0.000 0.000
Mn 0.000 0.000 0.500
Ir 0.500 0.500 0.500

Summary:
For the total magnetization, the calculation gives 0.2 μB/f.u. The calculation puts the formation energy at -0.245 eV per atom. As for the crystal system: orthorhombic. The total energy comes out at -10.68 eV per atom.

---

# Ta2Mn2Ir

A relaxed structure of Ta2Mn2Ir (GGA-PBE, Alexandria via LeMat-Bulk).

a = 6.293 Å, b = 6.293 Å, c = 3.758 Å
α = 90.00°, β = 90.00°, γ = 90.00°
Element x y z (fractional)
Ta 0.182 0.318 0.000
Ta 0.318 0.818 0.000
Ta 0.682 0.182 0.000
Ta 0.818 0.682 0.000
Mn 0.112 0.612 0.500
Mn 0.388 0.112 0.500
Mn 0.612 0.888 0.500
Mn 0.888 0.388 0.500
Ir 0.000 0.000 0.500
Ir 0.500 0.500 0.500

Summary:
For the total magnetization, the calculation gives 0.0 μB/f.u. The calculation puts the formation energy at -0.124 eV per atom. As for the crystal system: tetragonal. The total energy comes out at -10.31 eV per atom.

---

# TaMn2Ir

A relaxed structure of TaMn2Ir (GGA-PBE, Alexandria via LeMat-Bulk).

a = 2.918 Å, b = 3.432 Å, c = 5.779 Å
α = 90.00°, β = 90.00°, γ = 90.00°
Element x y z (fractional)
Ta 0.000 0.000 0.000
Mn 0.000 0.000 0.483
Mn 0.500 0.500 0.273
Ir 0.500 0.500 0.739

Summary:
For the total magnetization, the calculation gives 1.8 μB/f.u. The calculation puts the formation energy at -0.177 eV per atom. As for the crystal system: orthorhombic. The total energy comes out at -9.94 eV per atom. The energy above the lowest structure with this stoichiometry is 0.043 eV/atom.

---

no.,Fermi-level density of states (states/eV per cell)
1,4.28
2,4.05
3,4.09
4,3.71
5,2.69
6,3.59
7,10.60
8,3.70